{"formula": "LiFe2W", "functional": "meta-GGA SCAN", "state": "single point on PBEsol structure", "lattice_angstrom": [[-0.7124, -2.7850, -0.5564], [2.7588, -0.8148, 0.5456], [-1.2457, -0.7238, 5.2177]], "species": ["Fe", "Fe", "W", "Li"], "fractional_positions": [[0.0000, 0.0000, 0.2420], [0.0000, 0.0000, 0.7580], [0.5000, 0.5000, 0.5000], [0.5000, 0.5000, 0.0000]], "sg": "P4/mmm, No. 123", "dft_energy_ev_per_atom": -26.678}

***

{"formula": "YOs2Br", "functional": "meta-GGA SCAN", "state": "single point on PBEsol structure", "lattice_angstrom": [[3.0006, 0.0000, 0.0000], [0.0000, 4.5824, 0.0000], [-1.5003, -2.2912, 4.9361]], "species": ["Y", "Os", "Os", "Br"], "fractional_positions": [[0.5000, 0.0000, 0.0000], [0.7309, 0.7309, 0.4617], [0.2691, 0.2691, 0.5383], [0.0000, 0.5000, 0.0000]], "sg": "Immm, No. 71", "polymorph_energy_kcal_per_mol_atoms": 3.55, "e_form_raw_mev_per_atom": 448.4}

***

Per-record calculated density, g cm⁻³: 10.82 13.44
Per-record DOS(E_F), states/eV per atom: 0.640 0.996